# 1
The following is a PBE calculation of crystalline MgTeAs4 at its relaxed geometry, from Alexandria.

The structure in extended XYZ format:
```
6
Lattice="0.0000 4.0353 4.0353 4.0353 0.0000 4.0353 4.0353 4.0353 0.0000" Properties=species:S:1:pos:R:3 pbc="T T T"
As 5.0315 5.0315 3.0391
As 3.0391 5.0315 5.0315
As 3.0391 3.0391 3.0391
Mg 6.0529 6.0529 6.0529
Te 0.0000 0.0000 0.0000
As 5.0315 3.0391 5.0315
```

## Properties
magnetization = 0.00 μB/cell
total DFT energy (no corrections) = -3.597 eV per atom
E_form (uncorrected) = 292 meV per atom
volume = 131 Å³/cell

# 2
The following is a PBE calculation of crystalline MgTe2As at its relaxed geometry, from Alexandria.

The structure in extended XYZ format:
```
4
Lattice="4.2052 0.0000 0.0000 0.0000 4.2036 0.0000 0.0000 0.0000 5.9906" Properties=species:S:1:pos:R:3 pbc="T T T"
As 0.0000 0.0000 2.2436
Te 0.0000 0.0000 5.2431
Mg 2.1026 2.1018 5.2426
Te 2.1026 2.1018 2.2471
```

## Properties
magnetization = 0.00 μB/cell
total DFT energy (no corrections) = -3.464 eV per atom
E_form (uncorrected) = -333 meV per atom
volume = 106 Å³/cell